Entry 1:
A relaxed SrSiRh2N crystal. Source: Alexandria, functional GGA-PBE.

Lattice parameters (Å, degrees): 5.1306 4.1542 5.1306 90.00 90.00 90.00
Closest atoms and distances in Å follow each position.
Sites, in units of the cell vectors:
1 N 0.0000 0.5000 0.0000  2 Sr 2.08
2 Sr 0.0000 0.0000 0.0000  2 N 2.08
3 Si 0.5000 0.5000 0.5000  8 Rh 3.30, 4 N 3.63
4 Rh 0.0000 0.0000 0.5000  2 Sr 2.57
5 Rh 0.5000 0.0000 0.0000  2 Sr 2.57

## Properties
Density of states at the Fermi level = 7.1 states/eV/f.u.
Calculated total energy = -3.923 eV per atom
Space-group type = No. 123

***

Entry 2:
A relaxed TbSiRhN crystal. Source: Alexandria, functional GGA-PBE.

Lattice parameters (Å, degrees): 3.9201 3.9201 8.0549 90.00 90.00 90.00
Closest atoms and distances in Å follow each position.
Sites, in units of the cell vectors:
1 Rh 0.5000 0.5000 0.5000  4 Si 2.35
2 Rh 0.0000 0.0000 0.5000  4 Si 2.35
3 Tb 0.0000 0.5000 0.8422  1 N 2.26
4 Tb 0.5000 0.0000 0.1578  1 N 2.26
5 Si 0.5000 0.0000 0.6615  1 N 1.74
6 Si 0.0000 0.5000 0.3385  1 N 1.74
7 N 0.0000 0.5000 0.1221  1 Si 1.74
8 N 0.5000 0.0000 0.8779  1 Si 1.74

## Properties
Density of states at the Fermi level = 1.6 states/eV/f.u.
Calculated total energy = -7.665 eV per atom
Space-group type = No. 129

***

Entry 3:
A relaxed SiTeRhN2 crystal. Source: Alexandria, functional GGA-PBE.

Lattice parameters (Å, degrees): 3.5250 3.5250 8.1220 90.00 90.00 90.00
Closest atoms and distances in Å follow each position.
Sites, in units of the cell vectors:
1 Te 0.0000 0.0000 0.5000  4 Rh 2.49
2 Si 0.0000 0.0000 0.0000  4 N 1.76
3 N 0.0000 0.5000 0.0000  2 Si 1.76
4 N 0.5000 0.0000 0.0000  2 Si 1.76
5 Rh 0.5000 0.5000 0.5000  4 Te 2.49

## Properties
Density of states at the Fermi level = 2.2 states/eV/f.u.
Calculated total energy = -5.785 eV per atom
Space-group type = No. 123
ΔE to the lowest computed polymorph = 0.0 meV per atom

***

Repeat the third record exactly.
A relaxed SiTeRhN2 crystal. Source: Alexandria, functional GGA-PBE.

Lattice parameters (Å, degrees): 3.5250 3.5250 8.1220 90.00 90.00 90.00
Closest atoms and distances in Å follow each position.
Sites, in units of the cell vectors:
1 Te 0.0000 0.0000 0.5000  4 Rh 2.49
2 Si 0.0000 0.0000 0.0000  4 N 1.76
3 N 0.0000 0.5000 0.0000  2 Si 1.76
4 N 0.5000 0.0000 0.0000  2 Si 1.76
5 Rh 0.5000 0.5000 0.5000  4 Te 2.49

## Properties
Density of states at the Fermi level = 2.2 states/eV/f.u.
Calculated total energy = -5.785 eV per atom
Space-group type = No. 123
ΔE to the lowest computed polymorph = 0.0 meV per atom

***

Question: Which of these has the lowest calculated total energy?
Answer: TbSiRhN